1.
# Tl4SbAu, optimized geometry, DFT PBE-GGA
# ΔE_f (raw) = 0.013 eV per atom
# E above lowest polymorph = 0.00 eV per formula unit
# Final energy = -2.80 eV/atom
data_Tl4SbAu
_chemical_formula_sum 'Tl16 Sb4 Au4'
_space_group_name_H-M_alt 'I 4/m c m'
_space_group_IT_number 140
_space_group_name_Hall '-I 4 2c'
_cell_length_a 7.701
_cell_length_b 7.701
_cell_length_c 12.139
_cell_angle_alpha 90.00
_cell_angle_beta 90.00
_cell_angle_gamma 90.00
loop_
_atom_site_label
_atom_site_type_symbol
_atom_site_fract_x
_atom_site_fract_y
_atom_site_fract_z
Tl1 Tl 0.154 0.346 0.136
Sb1 Sb 0.000 0.000 0.000
Au1 Au 0.000 0.000 0.250



2.
# Ho6SbAs5, optimized geometry, DFT PBE-GGA
# ΔE_f (raw) = -1.444 eV per atom
# Final energy = -6.01 eV/atom
data_Ho6SbAs5
_chemical_formula_sum 'Ho12 Sb2 As10'
_space_group_name_H-M_alt 'C 1 2/m 1'
_space_group_IT_number 12
_cell_length_a 7.189
_cell_length_b 12.438
_cell_length_c 7.178
_cell_angle_alpha 90.00
_cell_angle_beta 109.51
_cell_angle_gamma 90.00
loop_
_space_group_symop_operation_xyz
'x,y,z'
'-x,-y,-z'
'-x,y,-z'
'x,-y,z'
'x+1/2,y+1/2,z'
'-x+1/2,-y+1/2,-z'
'-x+1/2,y+1/2,-z'
'x+1/2,-y+1/2,z'
loop_
_atom_site_label
_atom_site_type_symbol
_atom_site_fract_x
_atom_site_fract_y
_atom_site_fract_z
Ho1 Ho 0.241 0.000 0.255
Ho2 Ho 0.242 0.172 0.744
Sb1 Sb 0.000 0.500 0.000
As1 As 0.000 0.000 0.500
As2 As 0.000 0.167 0.000
As3 As 0.000 0.336 0.500